# CoSbIr2, optimized geometry, DFT PBE-GGA
# * formation energy without anion corrections: 0.30 eV per atom
# * E: -27.75 eV per cell
# * M_tot: 2.357 μB per formula unit
data_CoSbIr2
_chemical_formula_sum 'Co1 Sb1 Ir2'
_cell_length_a 2.999
_cell_length_b 2.999
_cell_length_c 6.891
_cell_angle_alpha 90.00
_cell_angle_beta 90.00
_cell_angle_gamma 90.00
_space_group_name_H-M_alt 'P 4/m m m'
_space_group_IT_number 123
_space_group_name_Hall '-P 4 2'
loop_
_atom_site_label
_atom_site_type_symbol
_atom_site_fract_x
_atom_site_fract_y
_atom_site_fract_z
_atom_site_occupancy
Co1 Co 0.000 0.000 0.000 1
Sb1 Sb 0.000 0.000 0.500 1
Ir1 Ir 0.500 0.500 0.225 1



# CoSb3Ir, optimized geometry, DFT PBE-GGA
# * formation energy without anion corrections: 0.68 eV per atom
# * E: -24.91 eV per cell
# * E above lowest polymorph: 0.0 meV per atom
# * M_tot: 0.000 μB per formula unit
data_CoSb3Ir
_chemical_formula_sum 'Co1 Sb3 Ir1'
_cell_length_a 4.796
_cell_length_b 4.796
_cell_length_c 4.796
_cell_angle_alpha 90.00
_cell_angle_beta 90.00
_cell_angle_gamma 90.00
_space_group_name_H-M_alt 'P m -3 m'
_space_group_IT_number 221
_space_group_name_Hall '-P 4 2 3'
loop_
_atom_site_label
_atom_site_type_symbol
_atom_site_fract_x
_atom_site_fract_y
_atom_site_fract_z
_atom_site_occupancy
Co1 Co 0.000 0.000 0.000 1
Sb1 Sb 0.000 0.000 0.500 1
Ir1 Ir 0.500 0.500 0.500 1



# Co2Sb6Ir, optimized geometry, DFT PBE-GGA
# * formation energy without anion corrections: -0.16 eV per atom
# * E: -49.22 eV per cell
# * M_tot: 0.000 μB per formula unit
data_Co2Sb6Ir
_chemical_formula_sum 'Co2 Sb6 Ir1'
_cell_length_a 6.6303
_cell_length_b 6.6303
_cell_length_c 5.1912
_cell_angle_alpha 90.00
_cell_angle_beta 90.00
_cell_angle_gamma 120.00
_space_group_name_H-M_alt 'P -3 1 m'
_space_group_IT_number 162
_space_group_name_Hall '-P 3 2'
loop_
_atom_site_label
_atom_site_type_symbol
_atom_site_fract_x
_atom_site_fract_y
_atom_site_fract_z
_atom_site_occupancy
Co1 Co 0.3333 0.6667 0.0000 1
Sb1 Sb 0.0000 0.3483 0.2503 1
Ir1 Ir 0.0000 0.0000 0.5000 1



# CoSb2Ir, optimized geometry, DFT PBE-GGA
# * formation energy without anion corrections: 0.30 eV per atom
# * E: -91.98 eV per cell
# * E above lowest polymorph: 498.3 meV per atom
# * M_tot: 0.000 μB per formula unit
data_CoSb2Ir
_chemical_formula_sum 'Co4 Sb8 Ir4'
_cell_length_a 5.723
_cell_length_b 5.723
_cell_length_c 11.860
_cell_angle_alpha 90.00
_cell_angle_beta 90.00
_cell_angle_gamma 90.00
_space_group_name_H-M_alt 'I -4 2 d'
_space_group_IT_number 122
_space_group_name_Hall 'I -4 2bw'
loop_
_atom_site_label
_atom_site_type_symbol
_atom_site_fract_x
_atom_site_fract_y
_atom_site_fract_z
_atom_site_occupancy
Co1 Co 0.000 0.000 0.000 1
Sb1 Sb 0.232 0.250 0.125 1
Ir1 Ir 0.000 0.000 0.500 1